The following is a GGA-PBEsol calculation of La2ReAg after structural relaxation, from Alexandria via LeMat-Bulk.

a b c (Å): 3.653 3.653 7.610
angles (deg): 90.00 90.00 90.00
Positions (direct):
La 0.500 0.500 0.320
La 0.000 0.000 0.915
Re 0.000 0.000 0.562
Ag 0.500 0.500 0.703

Results
**ΔE_f**: 0.443 eV per atom
**Excess energy over the best structure of this formula in the dataset**: 337 meV/atom
**Total magnetic moment**: 0.00 μB per cell

=====

The following is a GGA-PBEsol calculation of LaSi2Pt after structural relaxation, from Alexandria via LeMat-Bulk.

a b c (Å): 4.100 4.100 5.792
angles (deg): 69.27 69.27 60.00
Positions (direct):
Pt 0.000 0.000 0.000
La 0.500 0.500 0.500
Si 0.713 0.713 0.862
Si 0.287 0.287 0.138

Results
**Formation energy without anion corrections**: -1.009 eV/atom
**Total magnetic moment**: 0.00 μB per cell

=====

The following is a GGA-PBEsol calculation of KSb after structural relaxation, from Alexandria via LeMat-Bulk.

a b c (Å): 5.625 5.625 5.625
angles (deg): 60.00 60.00 60.00
Positions (direct):
Sb 0.250 0.250 0.250
K 0.000 0.000 0.000

Results
**Formation energy without anion corrections**: 0.631 eV/atom
**Excess energy over the best structure of this formula in the dataset**: 1049 meV/atom
**Total magnetic moment**: 2.00 μB per cell

=====

The following is a GGA-PBEsol calculation of SbTe2ICl after structural relaxation, from Alexandria via LeMat-Bulk.

a b c (Å): 5.725 5.725 5.855
angles (deg): 90.00 90.00 90.00
Positions (direct):
Sb 0.000 0.000 0.500
I 0.000 0.000 0.000
Cl 0.500 0.500 0.500
Te 0.000 0.500 0.000
Te 0.500 0.000 0.000

Results
**Formation energy without anion corrections**: 0.919 eV/atom
**Total magnetic moment**: 0.53 μB per cell